1.
Compound: La5Sm3Ho
Source: the Alexandria database
Functional: PBE-GGA
Structure: relaxed

a = 9.082 Å, b = 9.082 Å, c = 11.271 Å
α = 120.89°, β = 120.89°, γ = 59.09°
Element x y z (fractional)
La 0.031 0.969 0.750
La 0.118 0.219 0.649
La 0.219 0.118 0.149
La 0.250 0.612 0.892
La 0.388 0.750 0.608
La 0.612 0.250 0.392
La 0.750 0.388 0.108
La 0.781 0.882 0.851
La 0.882 0.781 0.351
La 0.969 0.031 0.250
Sm 0.000 0.500 0.000
Sm 0.194 0.435 0.487
Sm 0.435 0.194 0.987
Sm 0.500 0.000 0.500
Sm 0.565 0.806 0.013
Sm 0.806 0.565 0.513
Ho 0.373 0.627 0.250
Ho 0.627 0.373 0.750

Values from the calculation:
Space group: C2/c
Magnetic moment in μB/f.u.: 0.00
Crystal system: monoclinic
DOS(E_F) in states/eV per cell: 27.97
DFT total energy in eV per atom: -4.674
V in Å³ per cell: 643.9

---

2.
Compound: ErP2Ir4
Source: the Alexandria database
Functional: PBE-GGA
Structure: relaxed

a = 7.620 Å, b = 7.620 Å, c = 3.740 Å
α = 90.00°, β = 90.00°, γ = 90.00°
Element x y z (fractional)
Er 0.000 0.000 0.000
Er 0.500 0.500 0.500
P 0.234 0.234 0.500
P 0.266 0.734 0.000
P 0.734 0.266 0.000
P 0.766 0.766 0.500
Ir 0.067 0.680 0.500
Ir 0.180 0.433 0.000
Ir 0.320 0.933 0.500
Ir 0.433 0.180 0.000
Ir 0.567 0.820 0.000
Ir 0.680 0.067 0.500
Ir 0.820 0.567 0.000
Ir 0.933 0.320 0.500

Values from the calculation:
Space group: P4_2/mnm
Magnetic moment in μB/f.u.: 0.00
Crystal system: tetragonal
DOS(E_F) in states/eV per cell: 7.66
DFT total energy in eV per atom: -7.926
V in Å³ per cell: 217.2

---

3.
Compound: PrGaAgPd
Source: the Alexandria database
Functional: PBE-GGA
Structure: relaxed

a = 4.902 Å, b = 4.902 Å, c = 4.902 Å
α = 60.00°, β = 60.00°, γ = 60.00°
Element x y z (fractional)
Pr 0.000 0.000 0.000
Ga 0.500 0.500 0.500
Ag 0.250 0.250 0.250
Pd 0.750 0.750 0.750

Values from the calculation:
Space group: F-43m
Magnetic moment in μB/f.u.: 0.00
Crystal system: cubic
DOS(E_F) in states/eV per cell: 3.43
DFT total energy in eV per atom: -4.391
V in Å³ per cell: 83.3

---

4.
Compound: MgZrHg2
Source: the Alexandria database
Functional: PBE-GGA
Structure: relaxed

a = 5.548 Å, b = 5.548 Å, c = 5.548 Å
α = 133.92°, β = 133.92°, γ = 67.21°
Element x y z (fractional)
Mg 0.000 0.000 0.000
Zr 0.250 0.750 0.500
Hg 0.500 0.500 0.000
Hg 0.750 0.250 0.500

Values from the calculation:
Space group: I-4m2
Magnetic moment in μB/f.u.: 0.00
Crystal system: tetragonal
DOS(E_F) in states/eV per cell: 4.04
DFT total energy in eV per atom: -2.689
V in Å³ per cell: 87.1

---

Please write out number 4 again, unchanged.
Compound: MgZrHg2
Source: the Alexandria database
Functional: PBE-GGA
Structure: relaxed

a = 5.548 Å, b = 5.548 Å, c = 5.548 Å
α = 133.92°, β = 133.92°, γ = 67.21°
Element x y z (fractional)
Mg 0.000 0.000 0.000
Zr 0.250 0.750 0.500
Hg 0.500 0.500 0.000
Hg 0.750 0.250 0.500

Values from the calculation:
Space group: I-4m2
Magnetic moment in μB/f.u.: 0.00
Crystal system: tetragonal
DOS(E_F) in states/eV per cell: 4.04
DFT total energy in eV per atom: -2.689
V in Å³ per cell: 87.1